[1]
PBE-GGA Cs2K6AgO, relaxed; raw total energy = -1.869 eV per atom; magnetization = 0.00 μB/f.u.; crystal system = orthorhombic; formation energy (no corrections) = -0.2584 eV/atom
1.0
0.000 5.664 9.628
5.547 0.000 9.628
5.547 5.664 0.000
Cs K Ag O
2 6 1 1
direct
0.000 0.000 0.500
0.500 0.500 0.000
0.360 0.360 0.640
0.423 0.973 0.577
0.426 0.980 0.020
0.867 0.867 0.133
0.973 0.423 0.027
0.980 0.426 0.574
0.577 0.577 0.423
0.229 0.229 0.771

[2]
PBE-GGA KHfAsO6, relaxed; raw total energy = -6.750 eV per atom; magnetization = 2.05 μB/f.u.; crystal system = monoclinic; formation energy (no corrections) = -1.7000 eV/atom
1.0
2.680 -4.789 0.000
2.680 4.789 0.000
-0.165 0.000 5.724
K Hf As O
1 1 1 6
direct
0.000 0.000 0.000
0.675 0.325 0.500
0.325 0.675 0.500
0.026 0.407 0.310
0.038 0.624 0.690
0.376 0.962 0.310
0.383 0.412 0.660
0.588 0.617 0.340
0.593 0.974 0.690

[3]
PBE-GGA Ac2GaSe, relaxed; raw total energy = -4.684 eV per atom; magnetization = 0.00 μB/f.u.; crystal system = trigonal; formation energy (no corrections) = -1.0016 eV/atom; offset from the most stable computed form = 183 meV/atom
1.0
2.148 1.240 8.464
-2.148 1.240 8.464
0.000 -2.480 8.464
Ac Ga Se
2 1 1
direct
0.000 0.000 0.000
0.175 0.175 0.175
0.755 0.755 0.755
0.586 0.586 0.586

[4]
PBE-GGA Y4TlRh, relaxed; raw total energy = -5.488 eV per atom; magnetization = 0.00 μB/f.u.; crystal system = cubic; offset from the most stable computed form = 952 meV/atom; ΔH_f (0 K) = 0.44 eV/atom
1.0
0.000 4.323 4.323
4.323 0.000 4.323
4.323 4.323 0.000
Y Tl Rh
4 1 1
direct
0.124 0.124 0.124
0.124 0.124 0.627
0.124 0.627 0.124
0.627 0.124 0.124
0.500 0.500 0.500
0.750 0.750 0.750